## Hg2Pd2Se (PBE-GGA)

Data for Hg2Pd2Se after structural relaxation.

Properties
space group: P4/mbm, No. 127
formation energy from raw total energies: -6.0 kJ per mole of atoms
distance to the lowest polymorph of the same formula: 0.00 eV/f.u.
spin magnetization: 0.00 μB/cell

```
data_Hg2Pd2Se
_chemical_formula_sum 'Hg4 Pd4 Se2'
_cell_length_a 6.999
_cell_length_b 6.999
_cell_length_c 4.003
_cell_angle_alpha 90.00
_cell_angle_beta 90.00
_cell_angle_gamma 90.00
_symmetry_space_group_name_H-M 'P 1'
_symmetry_Int_Tables_number 1
loop_
_symmetry_equiv_pos_as_xyz
'x,y,z'
loop_
_atom_site_label
_atom_site_type_symbol
_atom_site_fract_x
_atom_site_fract_y
_atom_site_fract_z
Se1 Se 0.000 0.000 0.000
Se2 Se 0.500 0.500 0.000
Hg1 Hg 0.153 0.653 0.500
Hg2 Hg 0.653 0.847 0.500
Hg3 Hg 0.847 0.347 0.500
Hg4 Hg 0.347 0.153 0.500
Pd1 Pd 0.349 0.849 0.000
Pd2 Pd 0.849 0.651 0.000
Pd3 Pd 0.651 0.151 0.000
Pd4 Pd 0.151 0.349 0.000
```